The following is a DFT calculation (PBE-GGA) of a relaxed AlCuPt crystal.

Cell and atoms, written as POSCAR:
```
AlCuPt
1.0
8.9246 0.0000 0.0000
0.0000 3.9472 0.0000
-2.0368 0.0000 4.8246
Al Cu Pt
4 4 4
direct
0.1699 0.0000 0.1100
0.3301 0.5000 0.8900
0.6699 0.5000 0.1100
0.8301 0.0000 0.8900
0.0010 0.5000 0.7545
0.4990 0.0000 0.2455
0.5010 0.0000 0.7545
0.9990 0.5000 0.2455
0.1752 0.0000 0.6262
0.3248 0.5000 0.3738
0.6752 0.5000 0.6262
0.8248 0.0000 0.3738
```

Calculated values
Magnetic moment: 0.00 μB/cell
Formation enthalpy at 0 K: -54.88 kJ/mol of atoms
E: -5.195 eV per atom
Crystal system: monoclinic
ρ: 11.16 Mg/m³
Symmetry: No. 12